# 1
Computed, not measured: an optimized crystal structure of CdO2 at the GGA-PBE level of DFT.

Cell and atoms, written as POSCAR:
```
CdO2
1.0
2.9596 -5.9105 0.0000
2.9596 5.9105 0.0000
-2.6990 0.0000 2.9518
Cd O
2 4
Direct
0.1877 0.8123 0.0000
0.8123 0.1877 0.0000
0.0009 0.0009 0.6616
0.2779 0.7221 0.5000
0.7221 0.2779 0.5000
0.9991 0.9991 0.3384
```

Computed properties:
The size of the total moment is 0.330 μB per atom. The calculation puts the uncorrected formation energy at -0.5047 eV per atom. As for the symmetry: C2/m, No. 12.

# 2
Computed, not measured: an optimized crystal structure of Na3Pb2 at the GGA-PBE level of DFT.

Cell and atoms, written as POSCAR:
```
Na3Pb2
1.0
0.0000 8.4726 3.0033
5.7958 0.0000 3.0033
5.7958 8.4726 0.0000
Na Pb
6 4
Direct
0.0000 0.0000 0.0000
0.2500 0.2500 0.2500
0.4139 0.5773 0.3809
0.5773 0.4139 0.6279
0.6221 0.8691 0.6727
0.8691 0.6221 0.8361
0.0165 0.4371 0.0847
0.1653 0.7884 0.2335
0.4371 0.0165 0.4616
0.7884 0.1653 0.8129
```

Computed properties:
The size of the total moment is 0.000 μB per atom. As for the symmetry: Fdd2, No. 43. The value obtained for the energy above the most stable polymorph in this dataset is 0 meV per atom.